Material: ZrFe2Rh
Method: DFT, PBE
State: optimized geometry

Cell and atoms, written as extended XYZ:
```
4
Lattice="5.0935 -0.0475 -0.0131 3.9170 3.2562 -0.0131 1.5522 0.5528 3.5966" Properties=species:S:1:pos:R:3 pbc="T T T"
Rh 2.6407 0.9404 0.8926
Fe 5.3001 1.8874 1.7754
Fe 8.9918 3.2020 -0.0163
Zr 7.9221 2.8211 2.6778
```

Output
- Density: 8.4 g/cm³
- ΔE_f: -215 meV/atom

Material: ZrGeTe
Method: DFT, PBE
State: optimized geometry

Cell and atoms, written as extended XYZ:
```
6
Lattice="-1.9254 2.8844 -1.7793 -3.2147 -0.9066 2.0091 2.3956 5.4924 6.3116" Properties=species:S:1:pos:R:3 pbc="T T T"
Ge -2.5700 0.9889 0.1149
Ge 0.0000 0.0000 0.0000
Zr 0.8400 5.5751 3.8597
Zr -1.0144 0.9063 2.5669
Te -0.0557 3.5216 1.4999
Te -0.1187 2.9598 4.9266
```

Output
- Density: 7.3 g/cm³
- Formation energy without anion corrections: -0.786 eV/atom

Material: GaCu2I
Method: DFT, PBE
State: optimized geometry

Cell and atoms, written as extended XYZ:
```
4
Lattice="0.0000 3.3941 3.3941 3.3941 0.0000 3.3941 3.3941 3.3941 0.0000" Properties=species:S:1:pos:R:3 pbc="T T T"
I 3.3941 3.3941 3.3941
Ga 0.0000 0.0000 0.0000
Cu 1.6971 1.6971 1.6971
Cu 5.0912 5.0912 5.0912
```

Output
- Density: 6.9 g/cm³
- Formation energy without anion corrections: 0.532 eV/atom

Question: Which value of density does entry 1 give?
Answer: 8.4 g/cm³

Copy entry 2 word for word.
Material: ZrGeTe
Method: DFT, PBE
State: optimized geometry

Cell and atoms, written as extended XYZ:
```
6
Lattice="-1.9254 2.8844 -1.7793 -3.2147 -0.9066 2.0091 2.3956 5.4924 6.3116" Properties=species:S:1:pos:R:3 pbc="T T T"
Ge -2.5700 0.9889 0.1149
Ge 0.0000 0.0000 0.0000
Zr 0.8400 5.5751 3.8597
Zr -1.0144 0.9063 2.5669
Te -0.0557 3.5216 1.4999
Te -0.1187 2.9598 4.9266
```

Output
- Density: 7.3 g/cm³
- Formation energy without anion corrections: -0.786 eV/atom

Question: density of number 1 (ZrFe2Rh)?
Answer: 8.4 g/cm³